Compound: Ho2CuSi2Ni5
Source: Alexandria
Functional: GGA-PBE
Structure: optimized geometry

Geometry as POSCAR:
```
Ho2CuSi2Ni5
1.0
3.2109 0.0000 0.0000
0.0000 9.5321 0.0000
0.0000 0.0000 9.5321
Ni Ho Cu Si
10 4 2 4
direct
0.5000 0.0000 0.5000 Ni
0.5000 0.2068 0.0559 Ni
0.5000 0.0559 0.7932 Ni
0.5000 0.9441 0.2068 Ni
0.5000 0.2932 0.5559 Ni
0.5000 0.5000 0.0000 Ni
0.5000 0.7932 0.9441 Ni
0.5000 0.4441 0.2932 Ni
0.5000 0.7068 0.4441 Ni
0.5000 0.5559 0.7068 Ni
0.0000 0.1773 0.3227 Ho
0.0000 0.8227 0.6773 Ho
0.0000 0.3227 0.8227 Ho
0.0000 0.6773 0.1773 Ho
0.0000 0.0000 0.0000 Cu
0.0000 0.5000 0.5000 Cu
0.0000 0.8783 0.3783 Si
0.0000 0.6217 0.8783 Si
0.0000 0.3783 0.1217 Si
0.0000 0.1217 0.6217 Si
```

VASP energy (eV/atom): -5.679
Size of the total moment (μB/f.u.): 0.00
Raw formation energy (meV/atom): -378.9

***

Compound: Er6PdSe3S2
Source: Alexandria
Functional: GGA-PBE
Structure: optimized geometry

Geometry as POSCAR:
```
Er6PdSe3S2
1.0
-1.6495 -2.1020 -2.8661
3.8206 -6.6491 2.6775
-6.7641 1.0051 5.8344
Er S Se Pd
6 2 3 1
direct
0.3290 0.4285 0.6581 Er
0.9960 0.7598 0.9921 Er
0.6710 0.5715 0.3419 Er
0.6652 0.0974 0.3305 Er
0.0040 0.2402 0.0079 Er
0.3348 0.9026 0.6695 Er
0.1688 0.3374 0.3377 S
0.8312 0.6626 0.6623 S
0.5000 0.5000 0.0000 Se
0.8317 0.1688 0.6634 Se
0.1683 0.8312 0.3366 Se
0.5000 0.0000 0.0000 Pd
```

VASP energy (eV/atom): -5.921
Size of the total moment (μB/f.u.): 0.00
Raw formation energy (meV/atom): -1647.9

***

Compound: K3MgV
Source: Alexandria
Functional: GGA-PBE
Structure: optimized geometry

Geometry as POSCAR:
```
K3MgV
1.0
-6.5230 0.6611 0.6307
-0.5965 -6.5252 0.6704
0.6921 0.6068 6.5220
V K Mg
1 3 1
direct
0.0000 0.0000 0.0000 V
0.0000 0.0000 0.5000 K
0.5000 0.0000 0.0000 K
0.0000 0.5000 0.0000 K
0.5000 0.5000 0.5000 Mg
```

VASP energy (eV/atom): -1.833
Size of the total moment (μB/f.u.): 5.28
E_form (eV per atom): 0.968

***

Compound: Nd2GaSnPd6
Source: Alexandria
Functional: GGA-PBE
Structure: optimized geometry

Geometry as POSCAR:
```
Nd2GaSnPd6
1.0
6.5423 0.8537 1.2990
0.7955 6.3662 1.1668
4.5553 4.4132 6.3885
Pd Nd Sn Ga
6 2 1 1
direct
0.2455 0.7545 0.8203 Pd
0.3012 0.1929 0.9950 Pd
0.8071 0.6989 0.4890 Pd
0.1929 0.3011 0.5110 Pd
0.7545 0.2455 0.1797 Pd
0.6988 0.8071 0.0051 Pd
0.2513 0.7487 0.4997 Nd
0.7487 0.2513 0.5003 Nd
0.5000 0.5000 0.0000 Sn
0.0000 0.0000 0.0000 Ga
```

VASP energy (eV/atom): -5.442
Size of the total moment (μB/f.u.): 0.00
E_form (eV per atom): -0.670

***

Compound: CeMgNbN3
Source: Alexandria
Functional: GGA-PBE
Structure: optimized geometry

Geometry as POSCAR:
```
CeMgNbN3
1.0
3.3296 0.0000 0.0000
0.0000 5.7510 -0.3829
0.0000 -1.9966 8.2511
Nb Mg N Ce
2 2 6 2
direct
0.7500 0.8458 0.3569 Nb
0.2500 0.1542 0.6431 Nb
0.2500 0.7720 0.0444 Mg
0.7500 0.2280 0.9556 Mg
0.2500 0.4760 0.8239 N
0.2500 0.7457 0.4823 N
0.7500 0.2543 0.5177 N
0.7500 0.0115 0.1648 N
0.7500 0.5240 0.1761 N
0.2500 0.9885 0.8352 N
0.2500 0.3255 0.3012 Ce
0.7500 0.6745 0.6988 Ce
```

VASP energy (eV/atom): -8.194
Size of the total moment (μB/f.u.): 0.00
Raw formation energy (meV/atom): -1098.4

***

Compound: LaY2ScIr
Source: Alexandria
Functional: GGA-PBE
Structure: optimized geometry

Geometry as POSCAR:
```
LaY2ScIr
1.0
-0.9610 -3.5964 3.9951
2.7461 -3.8174 -2.7758
4.3871 1.4436 2.3549
Y Ir Sc La
2 1 1 1
direct
0.0000 0.5000 0.0000 Y
0.5000 0.0000 0.0000 Y
0.0000 0.0000 0.0000 Ir
0.0000 0.0000 0.5000 Sc
0.5000 0.5000 0.5000 La
```

VASP energy (eV/atom): -6.919
Size of the total moment (μB/f.u.): 0.00
E_form (eV per atom): -0.309

***

Compound: PmSbPt5
Source: Alexandria
Functional: GGA-PBE
Structure: optimized geometry

Geometry as POSCAR:
```
PmSbPt5
1.0
5.5583 0.0000 0.0000
0.0000 8.8271 0.0000
0.0000 0.0000 10.8208
Pt Pm Sb
20 4 4
direct
0.2500 0.1779 0.2264 Pt
0.7500 0.5756 0.5752 Pt
0.4934 0.5667 0.7972 Pt
0.2500 0.0890 0.4794 Pt
0.7500 0.8221 0.7736 Pt
0.2500 0.4244 0.4248 Pt
0.0066 0.0667 0.7028 Pt
0.5066 0.9333 0.2972 Pt
0.2500 0.9244 0.0752 Pt
0.5066 0.4333 0.2028 Pt
0.7500 0.9110 0.5206 Pt
0.2500 0.5890 0.0206 Pt
0.9934 0.4333 0.2028 Pt
0.7500 0.0756 0.9248 Pt
0.9934 0.9333 0.2972 Pt
0.7500 0.3221 0.7264 Pt
0.4934 0.0667 0.7028 Pt
0.7500 0.4110 0.9794 Pt
0.0066 0.5667 0.7972 Pt
0.2500 0.6779 0.2736 Pt
0.7500 0.2483 0.4497 Pm
0.7500 0.7483 0.0503 Pm
0.2500 0.7517 0.5503 Pm
0.2500 0.2517 0.9497 Pm
0.2500 0.8416 0.8477 Sb
0.7500 0.1584 0.1523 Sb
0.7500 0.6584 0.3477 Sb
0.2500 0.3416 0.6523 Sb
```

VASP energy (eV/atom): -6.204
Size of the total moment (μB/f.u.): 0.00
Raw formation energy (meV/atom): -621.8

***

Compound: NaScHgCl6
Source: Alexandria
Functional: GGA-PBE
Structure: optimized geometry

Geometry as POSCAR:
```
NaScHgCl6
1.0
-2.5969 2.2537 -5.7665
2.9702 -6.0171 0.2192
-10.9376 -5.2949 2.8562
Cl Sc Hg Na
12 2 2 2
direct
0.0231 0.3685 0.6327 Cl
0.3685 0.3454 0.3673 Cl
0.3454 0.3685 0.8673 Cl
0.0231 0.6546 0.8673 Cl
0.3454 0.9769 0.6327 Cl
0.6546 0.0231 0.3673 Cl
0.6546 0.6315 0.1327 Cl
0.9769 0.3454 0.1327 Cl
0.6315 0.9769 0.8673 Cl
0.6315 0.6546 0.6327 Cl
0.9769 0.6315 0.3673 Cl
0.3685 0.0231 0.1327 Cl
0.3333 0.6667 0.7500 Sc
0.6667 0.3333 0.2500 Sc
0.6667 0.3333 0.7500 Hg
0.3333 0.6667 0.2500 Hg
0.0000 0.0000 0.5000 Na
0.0000 0.0000 0.0000 Na
```

VASP energy (eV/atom): -3.633
Size of the total moment (μB/f.u.): 0.00
Raw formation energy (meV/atom): -1518.4

***

Compound: Y5NpSb6
Source: Alexandria
Functional: GGA-PBE
Structure: optimized geometry

Geometry as POSCAR:
```
Y5NpSb6
1.0
7.4792 -0.1167 -1.4096
-4.0412 6.2945 -1.4096
0.1473 0.2647 7.6073
Sb Np Y
6 1 5
direct
0.2498 0.2498 0.7508 Sb
0.0835 0.4162 0.2503 Sb
0.7502 0.7502 0.2492 Sb
0.5838 0.9165 0.7497 Sb
0.4162 0.0835 0.2503 Sb
0.9165 0.5838 0.7497 Sb
0.0000 0.0000 0.0000 Np
0.5000 0.5000 0.5000 Y
0.3333 0.6667 0.0000 Y
0.8332 0.1668 0.5000 Y
0.1668 0.8332 0.5000 Y
0.6667 0.3333 0.0000 Y
```

VASP energy (eV/atom): -6.832
Size of the total moment (μB/f.u.): 3.78
Raw formation energy (meV/atom): -998.8

***

Compound: KRbTl2Ag
Source: Alexandria
Functional: GGA-PBE
Structure: optimized geometry

Geometry as POSCAR:
```
KRbTl2Ag
1.0
-3.9284 -3.8681 1.5865
1.5911 -3.3963 -4.3411
4.2943 -2.8130 3.7748
Ag Tl K Rb
1 2 1 1
direct
0.0000 0.0000 0.0000 Ag
0.5000 0.0000 0.0000 Tl
0.0000 0.5000 0.0000 Tl
0.5000 0.5000 0.5000 K
0.0000 0.0000 0.5000 Rb
```

VASP energy (eV/atom): -1.833
Size of the total moment (μB/f.u.): 0.00
E_form (eV per atom): 0.097

***

Compound: InTcBr2
Source: Alexandria
Functional: GGA-PBE
Structure: optimized geometry

Geometry as POSCAR:
```
InTcBr2
1.0
6.4771 0.0232 0.0580
-3.0441 4.8513 -0.0254
0.3889 1.3408 3.3566
Tc In Br
1 1 2
direct
0.5000 0.5000 0.0000 Tc
0.0000 0.5000 0.5000 In
0.5000 0.0000 0.5000 Br
0.0000 0.0000 0.0000 Br
```

VASP energy (eV/atom): -3.591
Size of the total moment (μB/f.u.): 3.96
Raw formation energy (meV/atom): 521.8

***

Compound: CeGdTc2
Source: Alexandria
Functional: GGA-PBE
Structure: optimized geometry

Geometry as POSCAR:
```
CeGdTc2
1.0
-2.3840 -2.3106 0.8387
2.1024 -1.3112 2.3636
-2.5912 4.3953 4.7431
Gd Tc Ce
1 2 1
direct
0.5000 0.5000 0.5000 Gd
0.0000 0.0000 0.2239 Tc
0.0000 0.0000 0.7761 Tc
0.5000 0.5000 0.0000 Ce
```

VASP energy (eV/atom): -10.135
Size of the total moment (μB/f.u.): 6.74
E_form (eV per atom): 0.052